1.
Compound: BTe2IrI
Source: the Alexandria database
Functional: PBE
Structure: relaxed

a b c (Å): 4.7795 4.7795 4.6936
angles (deg): 90.00 90.00 90.00
Fractional coordinates of all 5 atoms:
B 0.0000 0.0000 0.0000
Te 0.0000 0.5000 0.0000
Te 0.5000 0.0000 0.0000
Ir 0.5000 0.5000 0.5000
I 0.0000 0.0000 0.5000

Output
The uncorrected formation energy is 1332.5 meV per atom. The density of states at the Fermi level comes out at 4.994 states/eV/cell.


2.
Compound: Zr2BIrI
Source: the Alexandria database
Functional: PBE
Structure: relaxed

a b c (Å): 4.5904 4.5904 4.6253
angles (deg): 90.00 90.00 90.00
Fractional coordinates of all 5 atoms:
Zr 0.0000 0.5000 0.0000
Zr 0.5000 0.0000 0.0000
B 0.0000 0.0000 0.0000
Ir 0.5000 0.5000 0.5000
I 0.0000 0.0000 0.5000

Output
The uncorrected formation energy is 552.4 meV per atom. The density of states at the Fermi level comes out at 3.496 states/eV/cell.


3.
Compound: KB2I8
Source: the Alexandria database
Functional: PBE
Structure: relaxed

a b c (Å): 9.4799 9.4799 7.1377
angles (deg): 108.40 108.40 81.49
Fractional coordinates of all 11 atoms:
K 0.0000 0.0000 0.0000
B 0.2206 0.2206 0.7286
B 0.7794 0.7794 0.2714
I 0.0134 0.7129 0.2484
I 0.2465 0.2465 0.4406
I 0.2871 0.9866 0.7516
I 0.3735 0.3735 0.0057
I 0.6265 0.6265 0.9943
I 0.7129 0.0134 0.2484
I 0.7535 0.7535 0.5594
I 0.9866 0.2871 0.7516

Output
The uncorrected formation energy is -234.2 meV per atom. The energy relative to the lowest polymorph listed for this composition is 0.0 meV/atom. The density of states at the Fermi level comes out at 11.066 states/eV/cell.


4.
Compound: KB2I8
Source: the Alexandria database
Functional: PBE
Structure: relaxed

a b c (Å): 10.2382 10.2382 7.8899
angles (deg): 103.27 103.27 44.31
Fractional coordinates of all 11 atoms:
K 0.0000 0.0000 0.0000
B 0.1417 0.1417 0.5420
B 0.8583 0.8583 0.4580
I 0.1260 0.6547 0.5962
I 0.2037 0.2037 0.8061
I 0.3453 0.8740 0.4038
I 0.4300 0.4300 0.0815
I 0.5700 0.5700 0.9185
I 0.6547 0.1260 0.5962
I 0.7963 0.7963 0.1939
I 0.8740 0.3453 0.4038

Output
The uncorrected formation energy is -198.9 meV per atom. The energy relative to the lowest polymorph listed for this composition is 35.3 meV/atom.


5.
Compound: KB2I
Source: the Alexandria database
Functional: PBE
Structure: relaxed

a b c (Å): 6.2883 6.2883 6.2883
angles (deg): 106.64 106.64 115.29
Fractional coordinates of all 8 atoms:
K 0.0000 0.0000 0.0000
K 0.7500 0.2500 0.5000
B 0.1796 0.1250 0.5546
B 0.3750 0.8204 0.9454
B 0.5704 0.6250 0.4454
B 0.8750 0.4296 0.0546
I 0.2500 0.7500 0.5000
I 0.5000 0.5000 0.0000

Output
The uncorrected formation energy is 1679.7 meV per atom. The energy relative to the lowest polymorph listed for this composition is 0.0 meV/atom. The density of states at the Fermi level comes out at 3.125 states/eV/cell.


6.
Compound: KB3I
Source: the Alexandria database
Functional: PBE
Structure: relaxed

a b c (Å): 5.3637 5.3637 5.3637
angles (deg): 90.00 90.00 90.00
Fractional coordinates of all 5 atoms:
K 0.0000 0.0000 0.0000
B 0.0000 0.0000 0.5000
B 0.0000 0.5000 0.0000
B 0.5000 0.0000 0.0000
I 0.5000 0.5000 0.5000

Output
The uncorrected formation energy is 3024.8 meV per atom. The energy relative to the lowest polymorph listed for this composition is 661.3 meV/atom. The density of states at the Fermi level comes out at 3.502 states/eV/cell.


7.
Compound: KB2I
Source: the Alexandria database
Functional: PBE
Structure: relaxed

a b c (Å): 5.0208 5.0208 5.0208
angles (deg): 60.00 60.00 60.00
Fractional coordinates of all 4 atoms:
K 0.0000 0.0000 0.0000
B 0.2500 0.2500 0.2500
B 0.7500 0.7500 0.7500
I 0.5000 0.5000 0.5000

Output
The uncorrected formation energy is 1867.9 meV per atom. The energy relative to the lowest polymorph listed for this composition is 188.2 meV/atom. The density of states at the Fermi level comes out at 4.289 states/eV/cell.


8.
Compound: K3BI6
Source: the Alexandria database
Functional: PBE
Structure: relaxed

a b c (Å): 11.7803 11.7803 9.0825
angles (deg): 90.00 90.00 114.38
Fractional coordinates of all 20 atoms:
K 0.0533 0.9467 0.5000
K 0.1310 0.3709 0.5471
K 0.3709 0.1310 0.0471
K 0.6291 0.8690 0.5471
K 0.8690 0.6291 0.0471
K 0.9467 0.0533 0.0000
B 0.2575 0.7425 0.3031
B 0.7425 0.2575 0.8031
I 0.0682 0.6412 0.4115
I 0.1735 0.2038 0.2630
I 0.2038 0.1735 0.7630
I 0.2285 0.7715 0.0613
I 0.3588 0.9318 0.4115
I 0.3703 0.6297 0.3282
I 0.6297 0.3703 0.8282
I 0.6412 0.0682 0.9115
I 0.7715 0.2285 0.5613
I 0.7962 0.8265 0.2630
I 0.8265 0.7962 0.7630
I 0.9318 0.3588 0.9115

Output
The uncorrected formation energy is -858.3 meV per atom. The density of states at the Fermi level comes out at 0.000 states/eV/cell.


9.
Compound: KB3I
Source: the Alexandria database
Functional: PBE
Structure: relaxed

a b c (Å): 4.7419 4.7419 4.7419
angles (deg): 90.00 90.00 90.00
Fractional coordinates of all 5 atoms:
K 0.0000 0.0000 0.0000
B 0.0000 0.5000 0.5000
B 0.5000 0.0000 0.5000
B 0.5000 0.5000 0.0000
I 0.5000 0.5000 0.5000

Output
The uncorrected formation energy is 2363.6 meV per atom. The energy relative to the lowest polymorph listed for this composition is 0.0 meV/atom. The density of states at the Fermi level comes out at 3.466 states/eV/cell.


10.
Compound: K2BI5
Source: the Alexandria database
Functional: PBE
Structure: relaxed

a b c (Å): 12.5705 11.8892 10.3869
angles (deg): 90.00 108.65 90.00
Fractional coordinates of all 32 atoms:
K 0.0060 0.1190 0.1952
K 0.0060 0.3810 0.6952
K 0.3960 0.7311 0.8398
K 0.3960 0.7689 0.3398
K 0.6040 0.2311 0.6602
K 0.6040 0.2689 0.1602
K 0.9940 0.6190 0.3048
K 0.9940 0.8810 0.8048
B 0.2960 0.0879 0.7479
B 0.2960 0.4121 0.2479
B 0.7040 0.5879 0.7521
B 0.7040 0.9121 0.2521
I 0.1230 0.1128 0.6004
I 0.1230 0.3872 0.1004
I 0.1235 0.6543 0.6674
I 0.1235 0.8457 0.1674
I 0.2856 0.5082 0.4307
I 0.2856 0.9918 0.9307
I 0.3754 0.2420 0.3140
I 0.3754 0.2580 0.8140
I 0.4045 0.5073 0.1455
I 0.4045 0.9927 0.6455
I 0.5955 0.0073 0.3545
I 0.5955 0.4927 0.8545
I 0.6246 0.7420 0.1860
I 0.6246 0.7580 0.6860
I 0.7144 0.0082 0.0693
I 0.7144 0.4918 0.5693
I 0.8765 0.1543 0.8326
I 0.8765 0.3457 0.3326
I 0.8770 0.6128 0.8996
I 0.8770 0.8872 0.3996

Output
The uncorrected formation energy is -732.0 meV per atom. The density of states at the Fermi level comes out at 0.000 states/eV/cell.


11.
Compound: K2MgBI
Source: the Alexandria database
Functional: PBE
Structure: relaxed

a b c (Å): 6.6733 6.6733 4.3890
angles (deg): 90.00 90.00 90.00
Fractional coordinates of all 5 atoms:
K 0.0000 0.5000 0.0000
K 0.5000 0.0000 0.0000
Mg 0.0000 0.0000 0.0000
B 0.0000 0.0000 0.5000
I 0.5000 0.5000 0.5000

Output
The uncorrected formation energy is 271.1 meV per atom. The density of states at the Fermi level comes out at 1.659 states/eV/cell.


12.
Compound: KNaB2I8
Source: the Alexandria database
Functional: PBE
Structure: relaxed

a b c (Å): 11.3222 11.3222 11.3222
angles (deg): 36.98 36.98 36.98
Fractional coordinates of all 12 atoms:
K 0.0000 0.0000 0.0000
Na 0.5000 0.5000 0.5000
B 0.2538 0.2538 0.2538
B 0.7462 0.7462 0.7462
I 0.0520 0.4561 0.7994
I 0.2006 0.9480 0.5439
I 0.3249 0.3249 0.3249
I 0.4561 0.7994 0.0520
I 0.5439 0.2006 0.9480
I 0.6751 0.6751 0.6751
I 0.7994 0.0520 0.4561
I 0.9480 0.5439 0.2006

Output
The uncorrected formation energy is -456.0 meV per atom. The density of states at the Fermi level comes out at 0.000 states/eV/cell.


13.
Compound: KBIO2
Source: the Alexandria database
Functional: PBE
Structure: relaxed

a b c (Å): 4.8982 4.8982 7.2164
angles (deg): 90.00 90.00 90.00
Fractional coordinates of all 5 atoms:
K 0.0000 0.0000 0.0000
B 0.5000 0.5000 0.5000
I 0.0000 0.0000 0.5000
O 0.0000 0.5000 0.0000
O 0.5000 0.0000 0.0000

Output
The uncorrected formation energy is 1342.3 meV per atom. The energy relative to the lowest polymorph listed for this composition is 991.4 meV/atom. The density of states at the Fermi level comes out at 3.565 states/eV/cell.


14.
Compound: KBIO2
Source: the Alexandria database
Functional: PBE
Structure: relaxed

a b c (Å): 4.1124 4.1124 4.7336
angles (deg): 90.00 90.00 90.00
Fractional coordinates of all 5 atoms:
K 0.0000 0.0000 0.0000
B 0.5000 0.5000 0.5000
I 0.5000 0.5000 0.0000
O 0.0000 0.5000 0.5000
O 0.5000 0.0000 0.5000

Output
The uncorrected formation energy is 350.9 meV per atom. The energy relative to the lowest polymorph listed for this composition is 0.0 meV/atom. The density of states at the Fermi level comes out at 4.697 states/eV/cell.


15.
Compound: KB2PdI
Source: the Alexandria database
Functional: PBE
Structure: relaxed

a b c (Å): 5.0551 5.0551 6.1230
angles (deg): 90.00 90.00 90.00
Fractional coordinates of all 5 atoms:
K 0.0000 0.0000 0.0000
B 0.0000 0.5000 0.0000
B 0.5000 0.0000 0.0000
Pd 0.5000 0.5000 0.5000
I 0.0000 0.0000 0.5000

Output
The uncorrected formation energy is 2434.8 meV per atom. The density of states at the Fermi level comes out at 3.643 states/eV/cell.


16.
Compound: KBSb2I
Source: the Alexandria database
Functional: PBE
Structure: relaxed

a b c (Å): 4.7357 4.7357 9.3381
angles (deg): 90.00 90.00 90.00
Fractional coordinates of all 5 atoms:
K 0.0000 0.0000 0.0000
B 0.5000 0.5000 0.5000
Sb 0.0000 0.5000 0.5000
Sb 0.5000 0.0000 0.5000
I 0.5000 0.5000 0.0000

Output
The uncorrected formation energy is 284.5 meV per atom. The energy relative to the lowest polymorph listed for this composition is 0.0 meV/atom. The density of states at the Fermi level comes out at 2.766 states/eV/cell.


17.
Compound: KBSb2I
Source: the Alexandria database
Functional: PBE
Structure: relaxed

a b c (Å): 6.2657 6.2657 6.2981
angles (deg): 90.00 90.00 90.00
Fractional coordinates of all 5 atoms:
K 0.0000 0.0000 0.0000
B 0.5000 0.5000 0.5000
Sb 0.0000 0.5000 0.0000
Sb 0.5000 0.0000 0.0000
I 0.0000 0.0000 0.5000

Output
The uncorrected formation energy is 1811.6 meV per atom. The energy relative to the lowest polymorph listed for this composition is 1527.2 meV/atom. The density of states at the Fermi level comes out at 7.102 states/eV/cell.


18.
Compound: KTa2BI
Source: the Alexandria database
Functional: PBE
Structure: relaxed

a b c (Å): 4.3597 4.3597 7.4532
angles (deg): 90.00 90.00 90.00
Fractional coordinates of all 5 atoms:
K 0.0000 0.0000 0.0000
Ta 0.0000 0.5000 0.5000
Ta 0.5000 0.0000 0.5000
B 0.5000 0.5000 0.5000
I 0.5000 0.5000 0.0000

Output
The uncorrected formation energy is 904.1 meV per atom. The density of states at the Fermi level comes out at 6.160 states/eV/cell.


19.
Compound: KBTe2I
Source: the Alexandria database
Functional: PBE
Structure: relaxed

a b c (Å): 4.7800 4.7800 8.2562
angles (deg): 90.00 90.00 90.00
Fractional coordinates of all 5 atoms:
K 0.0000 0.0000 0.0000
B 0.5000 0.5000 0.5000
Te 0.0000 0.5000 0.5000
Te 0.5000 0.0000 0.5000
I 0.5000 0.5000 0.0000

Output
The uncorrected formation energy is 126.0 meV per atom. The energy relative to the lowest polymorph listed for this composition is 0.0 meV/atom. The density of states at the Fermi level comes out at 4.270 states/eV/cell.


20.
Compound: KBTe2I
Source: the Alexandria database
Functional: PBE
Structure: relaxed

a b c (Å): 6.5221 6.5221 6.4492
angles (deg): 90.00 90.00 90.00
Fractional coordinates of all 5 atoms:
K 0.0000 0.0000 0.0000
B 0.5000 0.5000 0.5000
Te 0.0000 0.5000 0.0000
Te 0.5000 0.0000 0.0000
I 0.0000 0.0000 0.5000

Output
The uncorrected formation energy is 1448.1 meV per atom. The energy relative to the lowest polymorph listed for this composition is 1322.1 meV/atom. The density of states at the Fermi level comes out at 5.402 states/eV/cell.


Calculated total moment, 0.00; 0.00; 0.00; 0.09; 0.00; 0.00; 0.00; 0.00; 0.00; 0.01; 0.39; 0.00; 0.60; 0.00; 0.17; 0.00; 0.56; 0.16; 0.00; 0.60 μB/atom (same order as the records).
Calculated calculated density, 9.1; 8.7; 3.1; 3.2; 3.3; 2.1; 3.5; 2.6; 3.1; 3.3; 2.0; 3.9; 2.0; 4.3; 3.1; 3.3; 2.8; 6.3; 3.8; 2.6 g cm⁻³ (same order as the records).